1.
Here is a crystal of Mg2TlRu relaxed with PBEsol from Alexandria. Energies are from SCAN.

The space group is I-4m2 (No. 119) and the conventional cell measures 4.016, 4.016 and 8.686 Å, with angles of 90.00, 90.00 and 90.00 degrees. Symmetry generates all atoms from Mg at (0.000, 0.000, 0.000), Mg at (0.000, 0.500, 0.250), Tl at (0.000, 0.500, 0.750) and Ru at (0.000, 0.000, 0.500).

The polymorph energy (0 for the lowest one) comes out at 3.0 kJ/mol of formula units. Its calculated volume is 70.0 Å³/f.u. For the formation energy, the calculation gives -0.0375 eV/atom. The value obtained for the total magnetic moment is 0.2445 μB/atom. The calculation puts the total energy at -234.56 eV/cell.

2.
Here is a crystal of IrOsRu2 relaxed with PBEsol from Alexandria. Energies are from SCAN.

The space group is Pmmm (No. 47) and the conventional cell measures 2.681, 3.793 and 5.372 Å, with angles of 90.00, 90.00 and 90.00 degrees. Symmetry generates all atoms from Ir at (0.000, 0.000, 0.000), Os at (0.000, 0.000, 0.500) and Ru at (0.500, 0.500, 0.253).

The polymorph energy (0 for the lowest one) comes out at 0.4 kJ/mol of formula units. Its calculated volume is 54.6 Å³/f.u. For the formation energy, the calculation gives 0.0260 eV/atom. The value obtained for the total magnetic moment is 0.0000 μB/atom. The calculation puts the total energy at -212.53 eV/cell.

3.
Here is a crystal of Rb2ReSnN relaxed with PBEsol from Alexandria. Energies are from SCAN.

The space group is P4/mmm (No. 123) and the conventional cell measures 6.104, 6.104 and 3.794 Å, with angles of 90.00, 90.00 and 90.00 degrees. Symmetry generates all atoms from Rb at (0.000, 0.500, 0.000), Re at (0.000, 0.000, 0.500), Sn at (0.500, 0.500, 0.500) and N at (0.000, 0.000, 0.000).

The value obtained for the uncorrected formation energy is 2.65 eV per formula unit. Its calculated volume is 141.3 Å³/f.u. The value obtained for the total magnetic moment is 0.3520 μB/atom. The calculation puts the total energy at -155.13 eV/cell.

4.
Here is a crystal of CaZnTe relaxed with PBEsol from Alexandria. Energies are from SCAN.

The space group is P3m1 (No. 156) and the conventional cell measures 4.2743, 4.2743 and 5.1014 Å, with angles of 90.00, 90.00 and 120.00 degrees. Symmetry generates all atoms from Ca at (0.0000, 0.0000, 0.0000), Zn at (0.6667, 0.3333, 0.3439) and Te at (0.3333, 0.6667, 0.6116).

The value obtained for the uncorrected formation energy is -2.25 eV per formula unit. Its calculated volume is 80.7 Å³/f.u. The value obtained for the total magnetic moment is 0.0000 μB/atom. The calculation puts the total energy at -62.68 eV/cell.

5.
Here is a crystal of Ta4NiAs relaxed with PBEsol from Alexandria. Energies are from SCAN.

The space group is F-43m (No. 216) and the conventional cell measures 7.529, 7.529 and 7.529 Å, with angles of 90.00, 90.00 and 90.00 degrees. Symmetry generates all atoms from Ta at (0.125, 0.125, 0.125), Ni at (0.000, 0.000, 0.500) and As at (0.250, 0.250, 0.750).

Its calculated volume is 106.7 Å³/f.u. For the formation energy, the calculation gives 0.6804 eV/atom. The value obtained for the total magnetic moment is 0.0001 μB/atom. The calculation puts the total energy at -1194.46 eV/cell.

6.
Here is a crystal of NbPd2Cl relaxed with PBEsol from Alexandria. Energies are from SCAN.

The space group is Fm-3m (No. 225) and the conventional cell measures 6.398, 6.398 and 6.398 Å, with angles of 90.00, 90.00 and 90.00 degrees. Symmetry generates all atoms from Nb at (0.000, 0.000, 0.000), Pd at (0.250, 0.250, 0.250) and Cl at (0.000, 0.000, 0.500).

The value obtained for the uncorrected formation energy is 1.31 eV per formula unit. Its calculated volume is 65.5 Å³/f.u. The value obtained for the total magnetic moment is 0.0000 μB/atom. The calculation puts the total energy at -421.40 eV/cell.

7.
Here is a crystal of ScRuSCl2 relaxed with PBEsol from Alexandria. Energies are from SCAN.

The space group is P4/mmm (No. 123) and the conventional cell measures 4.802, 4.802 and 4.938 Å, with angles of 90.00, 90.00 and 90.00 degrees. Symmetry generates all atoms from Sc at (0.000, 0.000, 0.000), Ru at (0.500, 0.500, 0.500), S at (0.000, 0.000, 0.500) and Cl at (0.000, 0.500, 0.000).

The value obtained for the uncorrected formation energy is -2.96 eV per formula unit. Its calculated volume is 113.9 Å³/f.u. The value obtained for the total magnetic moment is 0.5999 μB/atom. The calculation puts the total energy at -77.61 eV/cell.

8.
Here is a crystal of CdTcOs2S relaxed with PBEsol from Alexandria. Energies are from SCAN.

The space group is P4/mmm (No. 123) and the conventional cell measures 4.580, 4.580 and 5.083 Å, with angles of 90.00, 90.00 and 90.00 degrees. Symmetry generates all atoms from Cd at (0.000, 0.000, 0.000), Tc at (0.000, 0.000, 0.500), Os at (0.000, 0.500, 0.500) and S at (0.500, 0.500, 0.000).

The value obtained for the uncorrected formation energy is 9.92 eV per formula unit. Its calculated volume is 106.6 Å³/f.u. The value obtained for the total magnetic moment is 0.3887 μB/atom. The calculation puts the total energy at -208.94 eV/cell.